1.
The following is a PBE-GGA calculation of a geometry-optimized La2CuNiPb structure, from Alexandria via LeMat-Bulk.

```
data_La2CuNiPb
_chemical_formula_sum 'La2 Cu1 Ni1 Pb1'
_space_group_name_H-M_alt 'P 4/m m m'
_space_group_IT_number 123
_space_group_name_Hall '-P 4 2'
_cell_length_a 5.3584
_cell_length_b 5.3584
_cell_length_c 4.6318
_cell_angle_alpha 90.00
_cell_angle_beta 90.00
_cell_angle_gamma 90.00
loop_
_atom_site_label
_atom_site_fract_x
_atom_site_fract_y
_atom_site_fract_z
La1 0.0000 0.5000 0.0000
Cu1 0.0000 0.0000 0.5000
Ni1 0.0000 0.0000 0.0000
Pb1 0.5000 0.5000 0.5000
```

Output
formation energy = -244 meV per atom

---

2.
The following is a PBE-GGA calculation of a geometry-optimized La2CuNiPd structure, from Alexandria via LeMat-Bulk.

```
data_La2CuNiPd
_chemical_formula_sum 'La4 Cu2 Ni2 Pd2'
_space_group_name_H-M_alt 'P 1 21/m 1'
_space_group_IT_number 11
_space_group_name_Hall '-P 2yb'
_cell_length_a 7.3593
_cell_length_b 4.2208
_cell_length_c 7.7307
_cell_angle_alpha 90.00
_cell_angle_beta 112.95
_cell_angle_gamma 90.00
loop_
_atom_site_label
_atom_site_fract_x
_atom_site_fract_y
_atom_site_fract_z
La1 0.0379 0.2500 0.2077
La2 0.3713 0.7500 0.6479
Cu1 0.3441 0.2500 0.9340
Ni1 0.0769 0.2500 0.5933
Pd1 0.3261 0.7500 0.1633
```

Output
formation energy = -464 meV per atom

---

3.
The following is a PBE-GGA calculation of a geometry-optimized LaPmCuNi structure, from Alexandria via LeMat-Bulk.

```
data_LaPmCuNi
_chemical_formula_sum 'La2 Pm2 Cu2 Ni2'
_space_group_name_H-M_alt 'A m m 2'
_space_group_IT_number 38
_space_group_name_Hall 'A 2 -2'
_cell_length_a 4.4549
_cell_length_b 3.8494
_cell_length_c 10.8869
_cell_angle_alpha 90.00
_cell_angle_beta 90.00
_cell_angle_gamma 90.00
loop_
_atom_site_label
_atom_site_fract_x
_atom_site_fract_y
_atom_site_fract_z
La1 0.0000 0.0000 0.0000
Pm1 0.5000 0.0000 0.2740
Cu1 0.0000 0.0000 0.7081
Ni1 0.5000 0.0000 0.5744
```

Output
formation energy = -258 meV per atom

---

4.
The following is a PBE-GGA calculation of a geometry-optimized LaPmCuNi structure, from Alexandria via LeMat-Bulk.

```
data_LaPmCuNi
_chemical_formula_sum 'La4 Pm4 Cu4 Ni4'
_space_group_name_H-M_alt 'F -4 3 m'
_space_group_IT_number 216
_space_group_name_Hall 'F -4 2 3'
_cell_length_a 7.1249
_cell_length_b 7.1249
_cell_length_c 7.1249
_cell_angle_alpha 90.00
_cell_angle_beta 90.00
_cell_angle_gamma 90.00
loop_
_atom_site_label
_atom_site_fract_x
_atom_site_fract_y
_atom_site_fract_z
La1 0.0000 0.0000 0.0000
Pm1 0.0000 0.0000 0.5000
Cu1 0.2500 0.2500 0.2500
Ni1 0.2500 0.2500 0.7500
```

Output
formation energy = -188 meV per atom

---

5.
The following is a PBE-GGA calculation of a geometry-optimized La2CuNi3Pt12 structure, from Alexandria via LeMat-Bulk.

```
data_La2CuNi3Pt12
_chemical_formula_sum 'La6 Cu3 Ni9 Pt36'
_space_group_name_H-M_alt 'R -3 m'
_space_group_IT_number 166
_space_group_name_Hall '-R 3 2"'
_cell_length_a 8.0944
_cell_length_b 8.0944
_cell_length_c 18.9304
_cell_angle_alpha 90.00
_cell_angle_beta 90.00
_cell_angle_gamma 120.00
loop_
_atom_site_label
_atom_site_fract_x
_atom_site_fract_y
_atom_site_fract_z
La1 0.0000 0.0000 0.1192
Cu1 0.0000 0.0000 0.5000
Ni1 0.0000 0.5000 0.0000
Pt1 0.0029 0.5015 0.8722
Pt2 0.0117 0.5059 0.3745
```

Output
formation energy = -18 meV per atom

---

6.
The following is a PBE-GGA calculation of a geometry-optimized La2Cu6NiPt structure, from Alexandria via LeMat-Bulk.

```
data_La2Cu6NiPt
_chemical_formula_sum 'La2 Cu6 Ni1 Pt1'
_space_group_name_H-M_alt 'P -1'
_space_group_IT_number 2
_space_group_name_Hall '-P 1'
_cell_length_a 6.2246
_cell_length_b 6.2446
_cell_length_c 6.2587
_cell_angle_alpha 61.01
_cell_angle_beta 61.10
_cell_angle_gamma 61.08
loop_
_atom_site_label
_atom_site_fract_x
_atom_site_fract_y
_atom_site_fract_z
La1 0.1808 0.1815 0.1824
Cu1 0.1597 0.3178 0.6153
Cu2 0.3191 0.6159 0.1594
Cu3 0.3842 0.8397 0.6820
Ni1 0.0000 0.0000 0.0000
Pt1 0.5000 0.5000 0.5000
```

Output
formation energy = -198 meV per atom

---

7.
The following is a PBE-GGA calculation of a geometry-optimized LaCuNiPt3 structure, from Alexandria via LeMat-Bulk.

```
data_LaCuNiPt3
_chemical_formula_sum 'La4 Cu4 Ni4 Pt12'
_space_group_name_H-M_alt 'C m c m'
_space_group_IT_number 63
_space_group_name_Hall '-C 2c 2'
_cell_length_a 6.3804
_cell_length_b 12.2670
_cell_length_c 5.5221
_cell_angle_alpha 90.00
_cell_angle_beta 90.00
_cell_angle_gamma 90.00
loop_
_atom_site_label
_atom_site_fract_x
_atom_site_fract_y
_atom_site_fract_z
La1 0.0000 0.2101 0.2500
Cu1 0.0000 0.1492 0.7500
Ni1 0.0000 0.4244 0.2500
Pt1 0.0000 0.3545 0.7500
Pt2 0.2070 0.0000 0.0000
```

Output
formation energy = -401 meV per atom

---

8.
The following is a PBE-GGA calculation of a geometry-optimized La2CuNiPt6 structure, from Alexandria via LeMat-Bulk.

```
data_La2CuNiPt6
_chemical_formula_sum 'La8 Cu4 Ni4 Pt24'
_space_group_name_H-M_alt 'F m -3 m'
_space_group_IT_number 225
_space_group_name_Hall '-F 4 2 3'
_cell_length_a 9.3614
_cell_length_b 9.3614
_cell_length_c 9.3614
_cell_angle_alpha 90.00
_cell_angle_beta 90.00
_cell_angle_gamma 90.00
loop_
_atom_site_label
_atom_site_fract_x
_atom_site_fract_y
_atom_site_fract_z
La1 0.2500 0.2500 0.2500
Cu1 0.0000 0.0000 0.0000
Ni1 0.0000 0.0000 0.5000
Pt1 0.0000 0.0000 0.2504
```

Output
formation energy = -244 meV per atom

---

Number 1: total magnetization 0.000 μB per formula unit. Number 2: total magnetization 0.000 μB per formula unit. Number 3: total magnetization 0.000 μB per formula unit. Number 4: total magnetization 0.000 μB per formula unit. Number 5: total magnetization 4.841 μB per formula unit. Number 6: total magnetization 0.000 μB per formula unit. Number 7: total magnetization 0.000 μB per formula unit. Number 8: total magnetization 0.356 μB per formula unit.